No. 1
# Pm4PtAu PBE-GGA relaxed
# ΔH_f (0 K)   -322 kJ/mol of formula units
# Total magnetization   0.00 μB/cell
# DOS at the Fermi energy   8.83 states/eV/f.u.
data_Pm4PtAu
_space_group_name_H-M_alt 'C 1 2/m 1'
_space_group_IT_number 12
_cell_length_a 7.133
_cell_length_b 7.133
_cell_length_c 7.138
_cell_angle_alpha 90.00
_cell_angle_beta 90.06
_cell_angle_gamma 90.00
loop_
_space_group_symop_operation_xyz
'x,y,z'
'-x,-y,-z'
'-x,y,-z'
'x,-y,z'
'x+1/2,y+1/2,z'
'-x+1/2,-y+1/2,-z'
'-x+1/2,y+1/2,-z'
'x+1/2,-y+1/2,z'
loop_
_atom_site_label
_atom_site_type_symbol
_atom_site_fract_x
_atom_site_fract_y
_atom_site_fract_z
Pm1 Pm 0.250 0.250 0.242
Pt1 Pt 0.000 0.000 0.000
Au1 Au 0.000 0.500 0.500

***

No. 2
# Nd2Ho3Si4 PBE-GGA relaxed
# Total magnetization   0.00 μB/cell
# ΔE_f (raw)   -0.76 eV/atom
# DOS at the Fermi energy   8.31 states/eV/f.u.
data_Nd2Ho3Si4
_space_group_name_H-M_alt 'P 1 21/c 1'
_space_group_IT_number 14
_cell_length_a 7.726
_cell_length_b 7.779
_cell_length_c 7.481
_cell_angle_alpha 90.00
_cell_angle_beta 106.91
_cell_angle_gamma 90.00
loop_
_space_group_symop_operation_xyz
'x,y,z'
'-x,-y,-z'
'-x,y+1/2,-z+1/2'
'x,-y+1/2,z+1/2'
loop_
_atom_site_label
_atom_site_type_symbol
_atom_site_fract_x
_atom_site_fract_y
_atom_site_fract_z
Nd1 Nd 0.198 0.178 0.083
Ho1 Ho 0.245 0.680 0.253
Ho2 Ho 0.500 0.000 0.500
Si1 Si 0.079 0.531 0.877
Si2 Si 0.493 0.119 0.876

***

No. 3
# La2InGa2 PBE-GGA relaxed
# ΔH_f (0 K)   -296 kJ/mol of formula units
# Total magnetization   0.00 μB/cell
# DOS at the Fermi energy   6.44 states/eV/f.u.
data_La2InGa2
_space_group_name_H-M_alt 'P 4/m b m'
_space_group_IT_number 127
_space_group_name_Hall '-P 4 2ab'
_cell_length_a 7.526
_cell_length_b 7.526
_cell_length_c 4.701
_cell_angle_alpha 90.00
_cell_angle_beta 90.00
_cell_angle_gamma 90.00
loop_
_atom_site_label
_atom_site_type_symbol
_atom_site_fract_x
_atom_site_fract_y
_atom_site_fract_z
La1 La 0.174 0.326 0.000
In1 In 0.000 0.000 0.500
Ga1 Ga 0.123 0.623 0.500

***

No. 4
# PaCrW PBE-GGA relaxed
# ΔH_f (0 K)   170 kJ/mol of formula units
# Total magnetization   0.00 μB/cell
# DOS at the Fermi energy   3.88 states/eV/f.u.
data_PaCrW
_space_group_name_H-M_alt 'R -3 m'
_space_group_IT_number 166
_space_group_name_Hall '-R 3 2"'
_cell_length_a 4.8943
_cell_length_b 4.8943
_cell_length_c 16.2212
_cell_angle_alpha 90.00
_cell_angle_beta 90.00
_cell_angle_gamma 120.00
loop_
_atom_site_label
_atom_site_type_symbol
_atom_site_fract_x
_atom_site_fract_y
_atom_site_fract_z
Pa1 Pa 0.0000 0.0000 0.1162
Cr1 Cr 0.0000 0.0000 0.2687
W1 W 0.0000 0.0000 0.4204

***

No. 5
# TaBeSe2 PBE-GGA relaxed
# Total magnetization   0.00 μB/cell
# ΔE_f (raw)   0.75 eV/atom
# DOS at the Fermi energy   2.90 states/eV/f.u.
data_TaBeSe2
_space_group_name_H-M_alt 'F -4 3 m'
_space_group_IT_number 216
_space_group_name_Hall 'F -4 2 3'
_cell_length_a 6.453
_cell_length_b 6.453
_cell_length_c 6.453
_cell_angle_alpha 90.00
_cell_angle_beta 90.00
_cell_angle_gamma 90.00
loop_
_atom_site_label
_atom_site_type_symbol
_atom_site_fract_x
_atom_site_fract_y
_atom_site_fract_z
Ta1 Ta 0.000 0.000 0.000
Be1 Be 0.250 0.250 0.250
Se1 Se 0.000 0.000 0.500
Se2 Se 0.250 0.250 0.750

***

No. 6
# SmPu2Ir9 PBE-GGA relaxed
# ΔH_f (0 K)   -528 kJ/mol of formula units
# Total magnetization   24.36 μB/cell
# DOS at the Fermi energy   23.42 states/eV/f.u.
data_SmPu2Ir9
_space_group_name_H-M_alt 'R -3 m'
_space_group_IT_number 166
_space_group_name_Hall '-R 3 2"'
_cell_length_a 5.3167
_cell_length_b 5.3167
_cell_length_c 26.3165
_cell_angle_alpha 90.00
_cell_angle_beta 90.00
_cell_angle_gamma 120.00
loop_
_atom_site_label
_atom_site_type_symbol
_atom_site_fract_x
_atom_site_fract_y
_atom_site_fract_z
Sm1 Sm 0.0000 0.0000 0.0000
Pu1 Pu 0.0000 0.0000 0.1400
Ir1 Ir 0.0000 0.0000 0.3332
Ir2 Ir 0.0000 0.0000 0.5000
Ir3 Ir 0.0021 0.5011 0.9169

***

Repeat the sixth record exactly.
# SmPu2Ir9 PBE-GGA relaxed
# ΔH_f (0 K)   -528 kJ/mol of formula units
# Total magnetization   24.36 μB/cell
# DOS at the Fermi energy   23.42 states/eV/f.u.
data_SmPu2Ir9
_space_group_name_H-M_alt 'R -3 m'
_space_group_IT_number 166
_space_group_name_Hall '-R 3 2"'
_cell_length_a 5.3167
_cell_length_b 5.3167
_cell_length_c 26.3165
_cell_angle_alpha 90.00
_cell_angle_beta 90.00
_cell_angle_gamma 120.00
loop_
_atom_site_label
_atom_site_type_symbol
_atom_site_fract_x
_atom_site_fract_y
_atom_site_fract_z
Sm1 Sm 0.0000 0.0000 0.0000
Pu1 Pu 0.0000 0.0000 0.1400
Ir1 Ir 0.0000 0.0000 0.3332
Ir2 Ir 0.0000 0.0000 0.5000
Ir3 Ir 0.0021 0.5011 0.9169